Entry 1:
This record from the Alexandria database describes KTiCuCl6 after structural relaxation. The functional is GGA-PBE.

Properties
Total magnetization = 0.060 μB/f.u.
SG = P312

Cell: 6.449 6.449 6.896 Å, 90.00 90.00 120.00°
Element x y z (fractional)
K (0.000, 0.000, 0.000)
Ti (0.667, 0.333, 0.500)
Cu (0.333, 0.667, 0.500)
Cl (0.382, 0.017, 0.698)
Cl (0.382, 0.366, 0.302)
Cl (0.634, 0.017, 0.302)
Cl (0.634, 0.618, 0.698)
Cl (0.983, 0.366, 0.698)
Cl (0.983, 0.618, 0.302)

=====

Entry 2:
This record from the Alexandria database describes KTl2Cu2Cl7 after structural relaxation. The functional is GGA-PBE.

Properties
Total magnetization = 0.000 μB/f.u.
SG = C2/m

Cell: 4.910 4.910 13.054 Å, 100.77 100.77 89.99°
Element x y z (fractional)
K (0.000, 0.000, 0.000)
Tl (0.180, 0.180, 0.362)
Tl (0.820, 0.820, 0.638)
Cu (0.406, 0.406, 0.809)
Cu (0.594, 0.594, 0.191)
Cl (0.092, 0.592, 0.185)
Cl (0.312, 0.312, 0.621)
Cl (0.408, 0.908, 0.815)
Cl (0.500, 0.500, 0.000)
Cl (0.592, 0.092, 0.185)
Cl (0.688, 0.688, 0.379)
Cl (0.908, 0.408, 0.815)

=====

Entry 3:
This record from the Alexandria database describes K2TlCuCl6 after structural relaxation. The functional is GGA-PBE.

Properties
Total magnetization = 0.000 μB/f.u.
Relative energy among the computed polymorphs = 0.0000 eV per atom
SG = P2_1/c

Cell: 6.998 7.375 12.469 Å, 90.00 122.99 90.00°
Element x y z (fractional)
K (0.227, 0.063, 0.248)
K (0.227, 0.437, 0.748)
K (0.773, 0.563, 0.252)
K (0.773, 0.937, 0.752)
Tl (0.500, 0.000, 0.000)
Tl (0.500, 0.500, 0.500)
Cu (0.000, 0.000, 0.500)
Cu (0.000, 0.500, 0.000)
Cl (0.164, 0.211, 0.968)
Cl (0.164, 0.289, 0.468)
Cl (0.238, 0.677, 0.967)
Cl (0.238, 0.823, 0.467)
Cl (0.310, 0.002, 0.747)
Cl (0.310, 0.498, 0.247)
Cl (0.690, 0.502, 0.753)
Cl (0.690, 0.998, 0.253)
Cl (0.762, 0.177, 0.533)
Cl (0.762, 0.323, 0.033)
Cl (0.836, 0.711, 0.532)
Cl (0.836, 0.789, 0.032)

=====

Entry 4:
This record from the Alexandria database describes KTl2CuCl8 after structural relaxation. The functional is GGA-PBE.

Properties
Total magnetization = 0.123 μB/f.u.
SG = R32

Cell: 10.715 10.715 10.715 Å, 35.36 35.36 35.36°
Element x y z (fractional)
K (0.000, 0.000, 0.000)
Tl (0.244, 0.244, 0.244)
Tl (0.756, 0.756, 0.756)
Cu (0.500, 0.500, 0.500)
Cl (0.157, 0.418, 0.758)
Cl (0.242, 0.582, 0.843)
Cl (0.327, 0.327, 0.327)
Cl (0.418, 0.758, 0.157)
Cl (0.582, 0.843, 0.242)
Cl (0.673, 0.673, 0.673)
Cl (0.758, 0.157, 0.418)
Cl (0.843, 0.242, 0.582)

=====

Entry 5:
This record from the Alexandria database describes K2TlCu2Cl6 after structural relaxation. The functional is GGA-PBE.

Properties
Total magnetization = 1.036 μB/f.u.
SG = C2/m

Cell: 7.455 7.455 8.176 Å, 113.07 113.07 59.78°
Element x y z (fractional)
K (0.218, 0.218, 0.183)
K (0.782, 0.782, 0.817)
Tl (0.000, 0.000, 0.500)
Cu (0.461, 0.461, 0.769)
Cu (0.539, 0.539, 0.231)
Cl (0.185, 0.661, 0.160)
Cl (0.273, 0.273, 0.605)
Cl (0.339, 0.815, 0.840)
Cl (0.661, 0.185, 0.160)
Cl (0.727, 0.727, 0.395)
Cl (0.815, 0.339, 0.840)

=====

Entry 6:
This record from the Alexandria database describes K2TlCuCl4 after structural relaxation. The functional is GGA-PBE.

Properties
Total magnetization = 0.091 μB/f.u.
SG = Cmcm

Cell: 7.608 7.608 15.635 Å, 90.00 90.00 147.71°
Element x y z (fractional)
K (0.134, 0.866, 0.554)
K (0.134, 0.866, 0.946)
K (0.866, 0.134, 0.054)
K (0.866, 0.134, 0.446)
Tl (0.386, 0.614, 0.750)
Tl (0.614, 0.386, 0.250)
Cu (0.330, 0.670, 0.250)
Cu (0.670, 0.330, 0.750)
Cl (0.091, 0.909, 0.750)
Cl (0.227, 0.773, 0.132)
Cl (0.227, 0.773, 0.368)
Cl (0.500, 0.500, 0.000)
Cl (0.500, 0.500, 0.500)
Cl (0.773, 0.227, 0.632)
Cl (0.773, 0.227, 0.868)
Cl (0.909, 0.091, 0.250)

=====

Entry 7:
This record from the Alexandria database describes KTl2CuCl6 after structural relaxation. The functional is GGA-PBE.

Properties
Total magnetization = 0.171 μB/f.u.
SG = P2_1/c

Cell: 5.880 7.091 15.378 Å, 90.00 105.99 90.00°
Element x y z (fractional)
K (0.000, 0.000, 0.000)
K (0.000, 0.500, 0.500)
Tl (0.329, 0.075, 0.770)
Tl (0.329, 0.425, 0.270)
Tl (0.671, 0.575, 0.730)
Tl (0.671, 0.925, 0.230)
Cu (0.500, 0.000, 0.500)
Cu (0.500, 0.500, 0.000)
Cl (0.143, 0.041, 0.217)
Cl (0.143, 0.459, 0.717)
Cl (0.288, 0.620, 0.087)
Cl (0.288, 0.880, 0.587)
Cl (0.483, 0.720, 0.431)
Cl (0.483, 0.780, 0.931)
Cl (0.517, 0.220, 0.069)
Cl (0.517, 0.280, 0.569)
Cl (0.712, 0.120, 0.413)
Cl (0.712, 0.380, 0.913)
Cl (0.857, 0.541, 0.283)
Cl (0.857, 0.959, 0.783)

=====

Entry 8:
This record from the Alexandria database describes KTl2CuCl5 after structural relaxation. The functional is GGA-PBE.

Properties
Total magnetization = 0.938 μB/f.u.
SG = I4/mcm

Cell: 9.421 9.421 9.421 Å, 126.75 126.75 78.65°
Element x y z (fractional)
K (0.250, 0.250, 0.000)
K (0.750, 0.750, 0.000)
Tl (0.169, 0.669, 0.837)
Tl (0.331, 0.169, 0.500)
Tl (0.669, 0.831, 0.500)
Tl (0.831, 0.331, 0.163)
Cu (0.250, 0.750, 0.500)
Cu (0.750, 0.250, 0.500)
Cl (0.000, 0.000, 0.000)
Cl (0.004, 0.798, 0.500)
Cl (0.202, 0.702, 0.206)
Cl (0.298, 0.504, 0.500)
Cl (0.496, 0.996, 0.794)
Cl (0.500, 0.500, 0.000)
Cl (0.504, 0.004, 0.206)
Cl (0.702, 0.496, 0.500)
Cl (0.798, 0.298, 0.794)
Cl (0.996, 0.202, 0.500)

=====

The records above yield DFT total energy values of -4.064; -3.160; -3.146; -2.839; -3.275; -3.316; -3.035; -3.168 eV/atom, respectively.